First-principles (PBE with a Hubbard U) data for an optimized crystal structure of Mn5CuP6O24, as listed in the Alexandria database.

Properties
The space-group type is R3, No. 146. The calculated total energy is -7.184 eV per atom.

The structure in POSCAR format:
```
Mn5CuP6O24
1.0
-8.361 -0.348 1.912
-2.770 -5.364 6.069
-2.799 3.079 7.480
O Mn P Cu
24 5 6 1
Direct
0.258 0.568 0.759
0.437 0.382 0.977
0.067 0.510 0.120
0.934 0.681 0.502
0.067 0.303 0.510
0.437 0.204 0.382
0.772 0.267 0.047
0.258 0.759 0.416
0.772 0.047 0.914
0.067 0.120 0.303
0.565 0.620 0.010
0.735 0.237 0.583
0.772 0.914 0.267
0.565 0.010 0.806
0.258 0.416 0.568
0.235 0.945 0.082
0.735 0.445 0.237
0.437 0.977 0.204
0.934 0.502 0.883
0.235 0.738 0.945
0.934 0.883 0.681
0.235 0.082 0.738
0.565 0.806 0.620
0.735 0.583 0.445
0.068 0.644 0.644
0.993 0.002 0.002
0.931 0.356 0.356
0.429 0.857 0.857
0.499 0.500 0.500
0.251 0.959 0.250
0.751 0.039 0.749
0.251 0.250 0.541
0.751 0.749 0.461
0.751 0.461 0.039
0.251 0.541 0.959
0.567 0.144 0.144
```